VASP calculation (PBE-GGA) on crystalline KSc2Mo at its relaxed geometry.

abc: 11.6340 11.6340 11.6340
angles: 15.52 15.52 15.52
With the nearest neighbours (Å) after each atom.
Fractional positions:
K 0.0000 0.0000 0.0000  6 K 3.14, 3 Mo 3.50
Sc 0.2306 0.2306 0.2306  9 Sc 3.14-3.29
Sc 0.4842 0.4842 0.4842  3 Mo 2.86, 6 Sc 3.14
Mo 0.7535 0.7535 0.7535  3 Sc 2.86, 6 Mo 3.14

Summary:
Crystal system: trigonal
Symmetry: R3m (160)
Total energy in eV for the cell shown: -21.8
Offset from the most stable computed form in meV/atom: 397
Total moment in Bohr magnetons per cell: 0.75
V in Å³ per cell: 98.25
Calculated formation energy in eV/atom: 0.709


VASP calculation (PBE-GGA) on crystalline KSc3Mo at its relaxed geometry.

abc: 4.7495 4.7495 4.7495
angles: 90.00 90.00 90.00
With the nearest neighbours (Å) after each atom.
Fractional positions:
K 0.0000 0.0000 0.0000  6 Sc 2.37
Sc 0.0000 0.0000 0.5000  2 K 2.37
Sc 0.0000 0.5000 0.0000  2 K 2.37
Sc 0.5000 0.0000 0.0000  2 K 2.37
Mo 0.5000 0.5000 0.5000  12 Sc 3.36

Summary:
Crystal system: cubic
Symmetry: Pm-3m (221)
Total energy in eV for the cell shown: -22.1
Offset from the most stable computed form in meV/atom: 1240
Total moment in Bohr magnetons per cell: 0.00
V in Å³ per cell: 107.14
Calculated formation energy in eV/atom: 1.767


VASP calculation (PBE-GGA) on crystalline K2ScMo at its relaxed geometry.

abc: 9.2417 9.2417 9.2417
angles: 93.95 93.95 149.55
With the nearest neighbours (Å) after each atom.
Fractional positions:
K 0.3750 0.0193 0.1443  2 Mo 3.48, 2 Sc 3.88
K 0.7693 0.6250 0.6443  2 Mo 3.48, 2 Sc 3.88
K 0.8750 0.2307 0.8557  2 Mo 3.48, 2 Sc 3.88
K 0.9807 0.1250 0.3557  2 Mo 3.48, 2 Sc 3.88
Sc 0.2500 0.7500 0.5000  2 Mo 2.43
Sc 0.5000 0.5000 0.0000  2 Mo 2.43
Mo 0.0000 0.0000 0.0000  2 Sc 2.43
Mo 0.7500 0.2500 0.5000  2 Sc 2.43

Summary:
Crystal system: tetragonal
Symmetry: I-42d (122)
Total energy in eV for the cell shown: -28.3
Offset from the most stable computed form in meV/atom: 535
Total moment in Bohr magnetons per cell: 4.35
V in Å³ per cell: 385.98
Calculated formation energy in eV/atom: 1.306


VASP calculation (PBE-GGA) on crystalline K2ScMo at its relaxed geometry.

abc: 10.9594 10.9594 4.3215
angles: 101.24 101.24 17.18
With the nearest neighbours (Å) after each atom.
Fractional positions:
K 0.1524 0.1524 0.1512  2 K 3.27, 2 Mo 3.63
K 0.8476 0.8476 0.8488  2 K 3.27, 2 Mo 3.63
Sc 0.0000 0.0000 0.5000  4 Mo 2.71
Mo 0.5000 0.5000 0.0000  4 Sc 2.71

Summary:
Crystal system: monoclinic
Symmetry: C2/m (12)
Total energy in eV for the cell shown: -16.2
Offset from the most stable computed form in meV/atom: 7
Total moment in Bohr magnetons per cell: 0.97
V in Å³ per cell: 150.33
Calculated formation energy in eV/atom: 0.778